1.
! LaFe2P PBE optimized geometry; values from VASP
! mass density	6.5	g cm⁻³
! uncorrected energy	-0.262	hartree per atom
! formation enthalpy at 0 K	-319	meV per atom
&SYSTEM
  ibrav = 0, nat = 4, ntyp = 3
/
ATOMIC_SPECIES
La 138.91 La.upf
Fe 55.84 Fe.upf
P 30.97 P.upf
CELL_PARAMETERS angstrom
-2.0861 1.2744 2.6560
2.3832 -1.1759 2.4361
2.7007 4.7756 -0.1701
ATOMIC_POSITIONS angstrom
La 2.3485 2.0880 0.8428
Fe 2.2714 -0.6933 2.1167
Fe 0.0249 0.5408 2.2131
P 3.2780 3.5624 3.3184

2.
! La3FeP PBE optimized geometry; values from VASP
! mass density	6.2	g cm⁻³
! uncorrected energy	-0.221	hartree per atom
! formation enthalpy at 0 K	-285	meV per atom
&SYSTEM
  ibrav = 0, nat = 5, ntyp = 3
/
ATOMIC_SPECIES
La 138.91 La.upf
Fe 55.84 Fe.upf
P 30.97 P.upf
CELL_PARAMETERS angstrom
-4.0197 -0.7132 3.1040
1.4910 -4.8381 0.8193
2.8142 1.5446 3.9994
ATOMIC_POSITIONS angstrom
La 0.7455 -2.4190 0.4097
La 1.4071 0.7723 1.9997
La -2.0099 -0.3566 1.5520
Fe 0.0000 0.0000 0.0000
P 0.1428 -2.0033 3.9614

3.
! LaFe2P PBE optimized geometry; values from VASP
! mass density	6.6	g cm⁻³
! uncorrected energy	-0.251	hartree per atom
! formation enthalpy at 0 K	-28	meV per atom
&SYSTEM
  ibrav = 0, nat = 4, ntyp = 3
/
ATOMIC_SPECIES
P 30.97 P.upf
Fe 55.84 Fe.upf
La 138.91 La.upf
CELL_PARAMETERS angstrom
4.6353 -0.2364 -0.1334
-0.0159 4.6413 0.1334
-1.6447 -2.8999 3.2320
ATOMIC_POSITIONS angstrom
P 0.3246 1.9720 1.6827
Fe 0.3342 0.3187 0.0000
Fe 1.9755 1.8838 0.0000
La 2.6502 -0.4669 1.5493

4.
! La2Fe2P PBE optimized geometry; values from VASP
! mass density	6.5	g cm⁻³
! uncorrected energy	-0.246	hartree per atom
! formation enthalpy at 0 K	-265	meV per atom
&SYSTEM
  ibrav = 0, nat = 5, ntyp = 3
/
ATOMIC_SPECIES
Fe 55.84 Fe.upf
P 30.97 P.upf
La 138.91 La.upf
CELL_PARAMETERS angstrom
3.5795 0.0000 0.0000
0.0000 3.5795 0.0000
1.7897 1.7897 8.3996
ATOMIC_POSITIONS angstrom
Fe 1.7897 3.5795 4.1998
Fe 3.5795 1.7897 4.1998
P 0.0000 0.0000 0.0000
La 1.7897 1.7897 1.7089
La 3.5795 3.5795 6.6907

5.
! LaFeP PBE optimized geometry; values from VASP
! mass density	5.6	g cm⁻³
! uncorrected energy	-0.242	hartree per atom
! formation enthalpy at 0 K	-316	meV per atom
&SYSTEM
  ibrav = 0, nat = 3, ntyp = 3
/
ATOMIC_SPECIES
La 138.91 La.upf
Fe 55.84 Fe.upf
P 30.97 P.upf
CELL_PARAMETERS angstrom
-4.3676 0.4776 -1.2121
-3.3033 -1.5949 2.7052
-2.6896 2.8999 2.2651
ATOMIC_POSITIONS angstrom
La -5.1802 0.8913 1.8791
Fe 0.0000 0.0000 0.0000
P -7.7704 1.3370 2.8186

6.
! LaFeP PBE optimized geometry; values from VASP
! mass density	7.0	g cm⁻³
! uncorrected energy	-0.244	hartree per atom
! formation enthalpy at 0 K	-361	meV per atom
&SYSTEM
  ibrav = 0, nat = 3, ntyp = 3
/
ATOMIC_SPECIES
Fe 55.84 Fe.upf
P 30.97 P.upf
La 138.91 La.upf
CELL_PARAMETERS angstrom
5.8249 -0.0745 0.0800
5.0144 2.9650 0.0797
0.8105 0.2165 3.0318
ATOMIC_POSITIONS angstrom
Fe 1.2567 0.3354 2.9040
P 7.0394 1.8773 1.2480
La 4.1642 1.1107 2.0714

7.
! LaFe2P PBE optimized geometry; values from VASP
! mass density	5.9	g cm⁻³
! uncorrected energy	-0.262	hartree per atom
! formation enthalpy at 0 K	-300	meV per atom
&SYSTEM
  ibrav = 0, nat = 8, ntyp = 3
/
ATOMIC_SPECIES
Fe 55.84 Fe.upf
La 138.91 La.upf
P 30.97 P.upf
CELL_PARAMETERS angstrom
4.5313 0.0000 0.0000
0.0000 4.5313 0.0000
2.2656 2.2656 7.7365
ATOMIC_POSITIONS angstrom
Fe 2.2652 1.1328 1.9341
Fe 5.6641 4.5308 5.8024
Fe 2.2660 3.3984 1.9341
Fe 3.3984 4.5317 5.8024
La 4.5313 2.2656 3.8683
La 0.0000 0.0000 0.0000
P 2.2656 2.2656 0.0000
P 2.2656 4.5313 3.8683

8.
! La2FeP PBE optimized geometry; values from VASP
! mass density	5.7	g cm⁻³
! uncorrected energy	-0.232	hartree per atom
! formation enthalpy at 0 K	-384	meV per atom
&SYSTEM
  ibrav = 0, nat = 4, ntyp = 3
/
ATOMIC_SPECIES
P 30.97 P.upf
La 138.91 La.upf
Fe 55.84 Fe.upf
CELL_PARAMETERS angstrom
-0.2008 3.8733 1.7003
-4.2264 -0.1129 -0.2418
-0.2464 -2.3936 5.4236
ATOMIC_POSITIONS angstrom
P -0.0923 -0.8966 2.0315
La -0.2155 -2.0939 4.7443
La -2.3062 0.9806 2.7676
Fe -2.4291 -0.2138 5.4740